Entry 1:
Here is a geometry-optimized BeCoRe structure from the Alexandria database. Energies are from PBE.

Geometry as extended XYZ:
```
6
Lattice="4.0423 0.0000 0.0000 -2.0211 3.5007 0.0000 0.0000 0.0000 4.9877" Properties=species:S:1:pos:R:3 pbc="T T T"
Be 0.0000 0.0000 0.0000
Be 0.0000 0.0000 2.4938
Co 0.0000 2.3338 1.2469
Co 2.0211 1.1669 3.7407
Re 0.0000 2.3338 3.7407
Re 2.0211 1.1669 1.2469
```

- M_tot (μB/f.u.) = 0.000
- crystal system = hexagonal
- formation energy (eV per atom) = 0.249
- offset from the most stable computed form (meV/atom) = 515

---

Entry 2:
Here is a geometry-optimized Be17CoRe structure from the Alexandria database. Energies are from PBE.

Geometry as extended XYZ:
```
19
Lattice="3.5897 2.0725 3.5025 -3.5897 2.0725 3.5025 0.0000 -4.1450 3.5025" Properties=species:S:1:pos:R:3 pbc="T T T"
Be 0.0000 0.0000 0.5512
Be 0.0000 -2.1240 3.3209
Be -1.8394 1.0620 3.3209
Be -1.0754 -2.2248 5.1124
Be -2.4644 0.1811 5.1124
Be 0.0000 0.0000 2.7314
Be -1.7356 -1.0021 6.7429
Be 1.0754 -2.2248 5.1124
Be -1.3890 2.0437 5.1124
Be 0.0000 -2.0359 7.0049
Be -1.7632 1.0180 7.0049
Be 1.8394 1.0620 3.3209
Be 1.7356 -1.0021 6.7429
Be 0.0000 2.0041 6.7429
Be 2.4644 0.1811 5.1124
Be 1.3890 2.0437 5.1124
Be 1.7632 1.0180 7.0049
Co 0.0000 0.0000 5.2714
Re 0.0000 0.0000 8.5492
```

- M_tot (μB/f.u.) = 0.000
- crystal system = trigonal
- formation energy (eV per atom) = -0.113

---

Entry 3:
Here is a geometry-optimized BeCo2Re structure from the Alexandria database. Energies are from PBE.

Geometry as extended XYZ:
```
4
Lattice="4.1496 -1.3024 0.0000 4.1496 1.3024 0.0000 -0.8738 0.0000 4.1756" Properties=species:S:1:pos:R:3 pbc="T T T"
Be 0.0000 0.0000 0.0000
Co 3.6377 0.0000 1.9831
Co 5.9926 0.0000 0.7010
Re 1.3919 0.0000 2.8321
```

- M_tot (μB/f.u.) = 0.000
- crystal system = monoclinic
- formation energy (eV per atom) = 0.018

---

Entry 4:
Here is a geometry-optimized BeCo2Re structure from the Alexandria database. Energies are from PBE.

Geometry as extended XYZ:
```
8
Lattice="-1.6906 1.6906 8.1805 1.6906 -1.6906 8.1805 1.6906 1.6906 -8.1805" Properties=species:S:1:pos:R:3 pbc="T T T"
Be 0.0000 0.0000 0.0000
Be 0.0000 1.6906 4.0903
Co 2.5360 0.7476 -2.0451
Co 0.7476 0.8453 2.0451
Co -0.8453 0.9430 6.1354
Co 0.9430 0.8453 10.2256
Re 1.6906 0.0000 4.0903
Re 0.0000 0.0000 8.1805
```

- M_tot (μB/f.u.) = 1.489
- crystal system = tetragonal
- formation energy (eV per atom) = 0.402

---

Entry 5:
Here is a geometry-optimized BeCoRe structure from the Alexandria database. Energies are from PBE.

Geometry as extended XYZ:
```
6
Lattice="4.6740 -1.3272 0.0000 4.6740 1.3272 0.0000 -3.4908 0.0000 5.3211" Properties=species:S:1:pos:R:3 pbc="T T T"
Be 0.0000 0.0000 0.0000
Be 0.9932 0.0000 1.8963
Co 6.4328 0.0000 0.2500
Co 6.6877 0.0000 3.3205
Re -0.2819 0.0000 3.9849
Re 3.5545 0.0000 1.6530
```

- M_tot (μB/f.u.) = 0.000
- crystal system = monoclinic
- formation energy (eV per atom) = -0.046
- offset from the most stable computed form (meV/atom) = 220

---

Entry 6:
Here is a geometry-optimized BeCo2Re structure from the Alexandria database. Energies are from PBE.

Geometry as extended XYZ:
```
4
Lattice="3.5407 0.0000 0.0000 0.0000 3.5407 0.0000 0.0000 0.0000 3.5391" Properties=species:S:1:pos:R:3 pbc="T T T"
Be 0.0000 0.0000 0.0000
Co 0.0000 1.7703 1.7696
Co 1.7703 0.0000 1.7696
Re 1.7703 1.7703 0.0000
```

- M_tot (μB/f.u.) = 0.000
- crystal system = tetragonal
- formation energy (eV per atom) = 0.132